Entry 1:
Below is TiGeAs2 after structural relaxation, with properties calculated at the PBE level.

Geometry as POSCAR:
```
TiGeAs2
1.0
3.6408 0.0000 0.0000
1.8204 3.1530 0.0000
1.8204 1.0510 6.9759
As Ti Ge
2 1 1
Direct
0.0694 0.0694 0.7917
0.2535 0.2535 0.2396
0.6670 0.6670 0.9989
0.5101 0.5101 0.4698
```

Properties
DFT formation energy, kJ/mol of formula units: -101
Space-group type: R3m, No. 160



Entry 2:
Below is ZrTiGeAs2 after structural relaxation, with properties calculated at the PBE level.

Geometry as POSCAR:
```
ZrTiGeAs2
1.0
-2.5996 -0.9119 3.8840
4.3126 -0.2514 2.8274
-0.3102 4.6679 0.8883
Zr As Ge Ti
1 2 1 1
Direct
0.0000 0.5000 0.0000
0.0000 0.0000 0.5000
0.5000 0.0000 0.0000
0.5000 0.5000 0.5000
0.0000 0.0000 0.0000
```

Properties
DFT formation energy, kJ/mol of formula units: 172
Space-group type: P4/mmm, No. 123



Entry 3:
Below is Tl2GeAs after structural relaxation, with properties calculated at the PBE level.

Geometry as POSCAR:
```
Tl2GeAs
1.0
-3.3009 -3.3358 4.4043
5.3426 -0.6198 3.5347
-0.3393 3.3055 6.9517
Ge Tl As
2 4 2
Direct
0.5000 0.5000 0.0000
0.2500 0.7500 0.5000
0.1264 0.6250 0.2500
0.8750 0.8736 0.7500
0.6236 0.1250 0.2500
0.3750 0.3764 0.7500
0.0000 0.0000 0.0000
0.7500 0.2500 0.5000
```

Properties
DFT formation energy, kJ/mol of formula units: 111
ΔE to the lowest computed polymorph, meV/atom: 0
Space-group type: I-42d, No. 122



Entry 4:
Below is Tl2GeAs after structural relaxation, with properties calculated at the PBE level.

Geometry as POSCAR:
```
Tl2GeAs
1.0
0.0000 3.6860 3.6860
3.6860 0.0000 3.6860
3.6860 3.6860 0.0000
Ge As Tl
1 1 2
Direct
0.0000 0.0000 0.0000
0.5000 0.5000 0.5000
0.7500 0.7500 0.7500
0.2500 0.2500 0.2500
```

Properties
DFT formation energy, kJ/mol of formula units: 130
ΔE to the lowest computed polymorph, meV/atom: 48
Space-group type: Fm-3m, No. 225